a:
Cs2In5Hg3 after structural relaxation, computed with PBE.

Structure (extended XYZ):
```
10
Lattice="-1.2039 -2.7473 -4.2443 1.8625 -4.2971 2.2532 -11.3908 -2.4212 4.7983" Properties=species:S:1:pos:R:3 pbc="T T T"
Hg -5.6954 -1.2106 2.3991
Hg -7.7913 -2.9018 0.9063
Hg -3.2702 -3.0416 2.8964
Cs -3.5187 -1.9936 -0.8935
Cs -7.5428 -3.9498 4.6962
In -5.3661 -4.7328 1.4036
In -10.5076 -3.4792 2.0505
In 0.3293 -3.5222 -0.9956
In -0.5538 -2.4642 1.7522
In 0.0000 0.0000 0.0000
```

b:
Cs2In5Hg3 after structural relaxation, computed with PBE.

Structure (extended XYZ):
```
20
Lattice="-4.3793 -5.5317 -2.0543 2.4352 -8.6733 5.0210 -7.7200 -1.2649 6.7206" Properties=species:S:1:pos:R:3 pbc="T T T"
In -3.9460 -7.3677 8.5373
In -5.6774 -5.2656 -0.0035
In -8.5293 -11.2536 9.0576
In -5.9269 -9.1179 4.3301
In -3.7373 -6.3520 5.3573
In -1.1349 -4.2162 0.6298
In -3.5285 -5.3363 2.1772
In -6.1356 -10.1336 7.5102
In -3.9867 -10.2043 9.6909
In -5.7181 -8.1021 1.1500
Hg -3.2845 -4.1488 -1.5407
Hg -1.0948 -1.3829 -0.5136
Hg -3.2497 -8.2881 2.9598
Hg -6.4145 -7.1818 6.7275
Hg -5.6542 -12.0996 5.2067
Hg -4.0099 -3.3702 4.4807
Cs -7.3722 -5.2561 3.5839
Cs 0.1214 -6.3596 3.7234
Cs -2.2919 -10.2137 6.1035
Cs -9.7855 -9.1103 5.9640
```

It comes down to a, which is 0.8 kJ/mol of atoms more stable than the next structure.

a:
CsInHg5 after structural relaxation, computed with PBE.

Structure (extended XYZ):
```
14
Lattice="-4.4310 4.3539 -3.0441 -5.5007 -3.6573 -2.0551 -8.6972 2.0124 6.8946" Properties=species:S:1:pos:R:3 pbc="T T T"
In 0.0000 0.0000 0.0000
In -9.3144 1.3545 0.8977
Hg -11.5634 3.6480 3.9729
Hg -10.8776 4.0728 0.7745
Hg -11.9821 0.5247 4.3594
Hg -7.0971 3.5236 0.4167
Hg -6.6468 2.1843 -2.5639
Hg -7.0654 -0.9390 -2.1774
Hg -11.5318 -0.8146 1.3788
Hg -9.0061 1.6814 3.8964
Hg -7.7513 -1.3638 1.0210
Hg -9.6228 1.0276 -2.1010
Cs -4.6572 0.6772 0.4489
Cs -13.9716 2.0319 1.3466
```

b:
CsInHg5 after structural relaxation, computed with PBE.

Structure (extended XYZ):
```
7
Lattice="-2.4445 -3.5237 3.2016 -2.9723 -1.6819 -4.1206 5.9877 -5.8927 -1.9138" Properties=species:S:1:pos:R:3 pbc="T T T"
Hg 2.6577 -4.9191 -3.3848
Hg -2.7084 -2.6028 -0.4595
Hg 0.3576 -2.6555 -2.6496
Hg 0.6215 -3.5764 1.0115
Hg 2.9216 -5.8400 0.2763
In 2.9938 -2.9463 -0.9569
Cs 0.0000 0.0000 0.0000
```

It comes down to a, which is 4.7 kJ/mol of atoms more stable than the next structure.

a:
CsKInHg after structural relaxation, computed with PBE.

Structure (extended XYZ):
```
4
Lattice="6.0393 0.0000 0.0000 3.0196 5.2302 0.0000 3.0196 1.7434 4.9310" Properties=species:S:1:pos:R:3 pbc="T T T"
In 0.0000 0.0000 0.0000
K 9.0589 5.2302 3.6983
Cs 6.0393 3.4868 2.4655
Hg 3.0196 1.7434 1.2328
```

b:
CsKInHg after structural relaxation, computed with PBE.

Structure (extended XYZ):
```
4
Lattice="-5.0472 1.3794 0.5926 2.5970 -2.2570 3.9862 4.8242 7.2467 0.9413" Properties=species:S:1:pos:R:3 pbc="T T T"
In -0.3945 0.0710 2.8315
Hg -2.9412 1.2848 1.7014
Cs 0.2871 3.4359 0.8121
K 6.4139 4.3149 4.2591
```

It comes down to b, which is 12.9 kJ/mol of atoms more stable than the next structure.

a:
CsMgInHg2 after structural relaxation, computed with PBE.

Structure (extended XYZ):
```
5
Lattice="-0.3381 4.9228 2.8940 -0.8471 -2.9103 4.8514 5.5765 -0.1400 0.8897" Properties=species:S:1:pos:R:3 pbc="T T T"
Cs 2.1956 0.9363 4.3176
Hg -0.4235 -1.4551 2.4257
Hg -0.1691 2.4614 1.4470
In 2.7882 -0.0700 0.4448
Mg 0.0000 0.0000 0.0000
```

b:
CsMgInHg2 after structural relaxation, computed with PBE.

Structure (extended XYZ):
```
5
Lattice="5.8280 0.0000 0.0000 0.0000 5.8280 0.0000 0.0000 0.0000 5.7332" Properties=species:S:1:pos:R:3 pbc="T T T"
Hg 0.0000 2.9140 0.0000
Hg 2.9140 0.0000 0.0000
Cs 2.9140 2.9140 2.8666
In 0.0000 0.0000 0.0000
Mg 0.0000 0.0000 2.8666
```

It comes down to a, which is 5.7 kJ/mol of atoms more stable than the next structure.

a:
CsTlInHg after structural relaxation, computed with PBE.

Structure (extended XYZ):
```
4
Lattice="-1.7525 -3.2784 -3.4628 3.0570 -1.6593 -3.7029 2.5400 -7.2679 1.8686" Properties=species:S:1:pos:R:3 pbc="T T T"
In 1.1027 -3.9140 -4.3060
Hg 0.8726 -2.8150 -1.5033
Tl 2.4283 -6.9696 1.6427
Cs 2.4767 -8.0681 -4.7952
```

b:
CsTlInHg after structural relaxation, computed with PBE.

Structure (extended XYZ):
```
4
Lattice="-1.7313 3.4894 -4.3494 -0.9325 -2.2120 -5.3224 -5.4404 -0.4072 -2.0801" Properties=species:S:1:pos:R:3 pbc="T T T"
Cs -2.0260 0.2175 -2.9380
Tl 0.0000 0.0000 0.0000
In -6.0781 0.6526 -8.8139
Hg -4.0521 0.4350 -5.8760
```

It comes down to a, which is 11.6 kJ/mol of atoms more stable than the next structure.

a:
CsHg2Ir after structural relaxation, computed with PBE.

Structure (extended XYZ):
```
8
Lattice="-0.4269 0.2058 -6.0890 6.0142 -0.9606 -0.4541 1.4254 -8.8540 -3.4621" Properties=species:S:1:pos:R:3 pbc="T T T"
Ir 0.0000 0.0000 0.0000
Ir 1.8961 -4.5128 -6.4113
Cs 5.1166 -5.0960 -3.5939
Cs 2.7937 -0.3774 -3.2716
Hg 0.7358 -2.1541 -6.2328
Hg 1.4301 -6.5778 -7.9799
Hg 1.6779 -6.6861 -4.9380
Hg 3.7405 -2.6332 -6.4945
```

b:
CsHg2Ir after structural relaxation, computed with PBE.

Structure (extended XYZ):
```
4
Lattice="0.0000 3.8052 3.8052 3.8052 0.0000 3.8052 3.8052 3.8052 0.0000" Properties=species:S:1:pos:R:3 pbc="T T T"
Hg 5.7078 5.7078 5.7078
Hg 1.9026 1.9026 1.9026
Cs 0.0000 0.0000 0.0000
Ir 3.8052 3.8052 3.8052
```

It comes down to a, which is 47.0 kJ/mol of atoms more stable than the next structure.

a:
Cs2HgIr after structural relaxation, computed with PBE.

Structure (extended XYZ):
```
8
Lattice="-8.4520 0.7774 -3.7148 -3.2792 -6.0616 6.1923 -7.2232 2.3055 5.3631" Properties=species:S:1:pos:R:3 pbc="T T T"
Ir -5.8656 -2.6421 1.2388
Ir -8.1840 -3.1991 6.3971
Cs -10.6217 -1.7407 6.4718
Cs -14.8771 -1.4062 4.6697
Cs -5.4230 0.1137 0.7052
Cs -6.9870 -2.9241 3.8345
Hg -10.7704 0.2204 1.4435
Hg 0.0000 0.0000 0.0000
```

b:
Cs2HgIr after structural relaxation, computed with PBE.

Structure (extended XYZ):
```
4
Lattice="-0.2029 -5.9317 1.2219 -5.2772 -2.6246 1.4082 -2.6274 -3.8109 -3.9107" Properties=species:S:1:pos:R:3 pbc="T T T"
Cs -6.0806 -9.2754 -0.9605
Cs -2.0269 -3.0918 -0.3202
Ir 0.0000 0.0000 0.0000
Hg -4.0537 -6.1836 -0.6403
```

It comes down to b, which is 11.3 kJ/mol of atoms more stable than the next structure.

a:
CsTlHg2Ir after structural relaxation, computed with PBE.

Structure (extended XYZ):
```
5
Lattice="-4.0612 2.4768 -4.5428 -2.4332 -4.7201 -0.3982 -4.2117 1.7720 4.7314" Properties=species:S:1:pos:R:3 pbc="T T T"
Hg -2.1059 0.8860 2.3657
Hg -2.0306 1.2384 -2.2714
Ir -1.2166 -2.3600 -0.1991
Tl -5.3531 -0.2357 -0.1048
Cs 0.0000 0.0000 0.0000
```

b:
CsTlHg2Ir after structural relaxation, computed with PBE.

Structure (extended XYZ):
```
5
Lattice="-2.0591 -3.6549 3.5122 4.8490 -0.3158 2.5141 -1.4306 3.9320 3.2531" Properties=species:S:1:pos:R:3 pbc="T T T"
Hg 2.4245 -0.1579 1.2571
Hg -1.0295 -1.8275 1.7561
Tl -0.7153 1.9660 1.6265
Ir 0.0000 0.0000 0.0000
Cs 0.6797 -0.0194 4.6397
```

It comes down to b, which is 117.9 kJ/mol of atoms more stable than the next structure.

a:
Cs2KHg after structural relaxation, computed with PBE.

Structure (extended XYZ):
```
4
Lattice="0.0000 5.1766 5.1766 5.1766 0.0000 5.1766 5.1766 5.1766 0.0000" Properties=species:S:1:pos:R:3 pbc="T T T"
Hg 5.1766 5.1766 5.1766
K 0.0000 0.0000 0.0000
Cs 2.5883 2.5883 2.5883
Cs 7.7649 7.7649 7.7649
```

b:
Cs2KHg after structural relaxation, computed with PBE.

Structure (extended XYZ):
```
8
Lattice="-8.8331 8.0309 3.6479 -6.1149 -1.8547 -10.7236 -9.4301 0.2032 -1.9234" Properties=species:S:1:pos:R:3 pbc="T T T"
Cs -12.0837 2.6488 -3.0536
Cs -6.4248 -0.8852 -7.0817
Cs -20.7465 5.3763 -8.6763
Cs -9.5013 5.6190 0.8132
Hg 0.0000 0.0000 0.0000
Hg -12.8686 5.6611 -0.9067
K -7.4740 3.0881 -3.5379
K -11.5095 0.7183 -8.0924
```

It comes down to b, which is 1.1 kJ/mol of atoms more stable than the next structure.

a:
Cs2K2Hg15 after structural relaxation, computed with PBE.

Structure (extended XYZ):
```
19
Lattice="8.5850 0.3001 1.4629 1.2840 8.4937 1.4629 0.3368 0.3001 8.7022" Properties=species:S:1:pos:R:3 pbc="T T T"
Hg 6.1468 0.3001 3.6028
Hg 4.2925 0.1500 0.7315
Hg 0.6420 4.2469 0.7315
Hg 0.6168 2.7221 6.5623
Hg 1.0040 6.0717 3.6028
Hg 0.1684 0.1500 4.3511
Hg 6.3049 5.6181 3.1380
Hg 5.8443 1.6331 6.6588
Hg 3.9008 3.4759 8.4901
Hg 2.7749 0.3001 6.5623
Hg 3.4421 6.0717 1.4629
Hg 7.9123 3.4759 4.9693
Hg 2.2935 5.6181 6.6588
Hg 4.3615 7.4608 4.9693
Hg 6.4268 2.7221 1.4629
Cs 3.4832 3.1038 3.9687
Cs 6.7225 5.9902 7.6594
K 9.1928 8.1913 10.4740
K 1.0129 0.9026 1.1541
```

b:
Cs2K2Hg15 after structural relaxation, computed with PBE.

Structure (extended XYZ):
```
19
Lattice="-1.8230 -8.1623 -2.6852 6.8174 -1.6473 -5.2884 5.1731 -4.7542 5.2720" Properties=species:S:1:pos:R:3 pbc="T T T"
K 3.5494 -5.0841 -0.9431
K 6.6181 -9.4797 -1.7585
Hg 6.3096 -2.6068 -2.0270
Hg 0.8454 -6.1503 -3.4892
Hg 3.0125 -5.8067 2.8145
Hg 2.5866 -2.3771 2.6360
Hg 6.9908 -6.2976 -3.4491
Hg 6.2381 -7.7197 1.3849
Hg 3.9294 -6.8441 -4.0865
Hg 0.3376 -7.1098 -0.2278
Hg -0.9115 -4.0812 -1.3426
Hg 3.0356 -9.2798 -2.2575
Hg 7.1319 -5.2840 -0.4441
Hg 3.1767 -8.2663 0.7475
Hg 3.4087 -0.8237 -2.6442
Hg 5.6809 -3.7947 2.0106
Hg 4.1490 -3.6594 -4.4844
Cs 1.0320 -1.4783 -0.2742
Cs 9.1355 -13.0856 -2.4274
```

It comes down to a, which is 3.1 kJ/mol of atoms more stable than the next structure.

a:
CsK4Hg2 after structural relaxation, computed with PBE.

Structure (extended XYZ):
```
14
Lattice="7.8982 0.0000 0.0000 0.0000 9.6836 -3.7683 0.0000 -0.0704 9.8178" Properties=species:S:1:pos:R:3 pbc="T T T"
K 5.9236 0.1430 3.7823
K 1.9745 2.5494 2.4185
K 1.9745 9.4701 2.2672
K 7.8853 4.0457 5.8735
K 0.0129 5.5675 0.1760
K 3.9620 4.0457 5.8735
K 3.9362 5.5675 0.1760
K 5.9236 7.0638 3.6310
Cs 5.9236 1.3407 9.2564
Cs 1.9745 8.2725 -3.2069
Hg 5.9236 3.6039 2.7136
Hg 5.9236 7.1546 -2.5610
Hg 1.9745 2.4586 8.6105
Hg 1.9745 6.0093 3.3359
```

b:
CsK4Hg2 after structural relaxation, computed with PBE.

Structure (extended XYZ):
```
7
Lattice="6.0961 0.0000 0.0000 3.0480 5.2794 0.0000 3.0480 1.7598 12.7658" Properties=species:S:1:pos:R:3 pbc="T T T"
K 9.1441 5.2794 3.3239
K 3.0480 1.7598 1.1681
K 9.1441 5.2794 11.5977
K 3.0480 1.7598 9.4419
Hg 6.0961 3.5196 10.2868
Hg 6.0961 3.5196 2.4790
Cs 6.0961 3.5196 6.3829
```

It comes down to a, which is 2.7 kJ/mol of atoms more stable than the next structure.

a:
CsKHg4 after structural relaxation, computed with PBE.

Structure (extended XYZ):
```
6
Lattice="-0.3920 -1.4070 -4.2745 5.0090 -2.1296 0.2412 -3.6199 -8.1734 3.0221" Properties=species:S:1:pos:R:3 pbc="T T T"
K -1.5138 -10.6223 -1.1320
Hg 1.1283 -4.3958 -1.0370
Hg 4.2248 -4.1237 -1.4105
Hg -0.1439 -7.2684 0.0249
Hg 1.7687 -9.6699 0.6403
Cs 2.8007 -7.6004 -2.5225
```

b:
CsKHg4 after structural relaxation, computed with PBE.

Structure (extended XYZ):
```
6
Lattice="6.6307 0.0000 0.0000 3.3154 5.7424 0.0000 3.3154 1.9141 5.4140" Properties=species:S:1:pos:R:3 pbc="T T T"
K 3.3154 1.9141 1.3535
Hg 4.9882 4.7766 3.3775
Hg 6.6307 3.8282 0.6953
Hg 8.2733 4.7766 3.3775
Hg 6.6307 1.9316 3.3775
Cs 0.0000 0.0000 0.0000
```

It comes down to a, which is 3.6 kJ/mol of atoms more stable than the next structure.